[1]
## Sc2TlIn (meta-GGA SCAN)

Data for a PBEsol-optimized structure of Sc2TlIn.

crystal system = orthorhombic
formation energy from the elements = -0.507 eV per atom
total magnetic moment = 0.0 Bohr magnetons per cell
V = 21.861 Å³ per atom
offset from the most stable computed form = 0.024 eV/atom
E_tot = -34.0622 eV/atom

a b c (Å): 3.525 4.981 4.980
angles (deg): 90.00 90.00 90.00
Fractional positions:
Sc  0.000  0.000  0.124
In  0.500  0.500  0.126
Tl  0.500  0.000  0.624
Sc  0.000  0.500  0.626

---

[2]
## ScTlIn2 (meta-GGA SCAN)

Data for a PBEsol-optimized structure of ScTlIn2.

crystal system = cubic
formation energy from the elements = -0.048 eV per atom
total magnetic moment = 0.0 Bohr magnetons per cell
V = 23.932 Å³ per atom
E_tot = -38.3901 eV/atom

a b c (Å): 5.135 5.135 5.135
angles (deg): 60.00 60.00 60.00
Fractional positions:
Sc  0.500  0.500  0.500
In  0.750  0.750  0.750
In  0.000  0.000  0.000
Tl  0.250  0.250  0.250